1.
First-principles (GGA-PBEsol) data for an optimized crystal structure of ZrRe2Pb, as listed in Alexandria via LeMat-Bulk.

abc: 4.1165 4.1165 5.1049
angles: 113.78 113.78 90.00
Sites, in units of the cell vectors:
1 Zr 0.5000 0.5000 0.0000
2 Re 0.2500 0.7500 0.5000
3 Re 0.7500 0.2500 0.5000
4 Pb 0.0000 0.0000 0.0000

space group: I4/mmm, No. 139
calculated volume: 17.77 Å³ per atom



2.
First-principles (GGA-PBEsol) data for an optimized crystal structure of ZrRe2Pb, as listed in Alexandria via LeMat-Bulk.

abc: 2.9079 5.2018 5.5420
angles: 117.38 104.21 92.07
Sites, in units of the cell vectors:
1 Re 0.0000 0.0000 0.5000
2 Re 0.5000 0.5000 0.5000
3 Zr 0.5000 0.0000 0.0000
4 Pb 0.0000 0.5000 0.0000

space group: C2/m, No. 12
calculated volume: 17.77 Å³ per atom



3.
First-principles (GGA-PBEsol) data for an optimized crystal structure of Zr2RePb, as listed in Alexandria via LeMat-Bulk.

abc: 3.3300 4.5562 5.5440
angles: 90.00 103.57 90.00
Sites, in units of the cell vectors:
1 Zr 0.7541 0.5000 0.2925
2 Zr 0.9957 0.0000 0.9219
3 Pb 0.3210 0.0000 0.4681
4 Re 0.4292 0.5000 0.8175

space group: Pm, No. 6
calculated volume: 20.44 Å³ per atom



4.
First-principles (GGA-PBEsol) data for an optimized crystal structure of ZrRePb, as listed in Alexandria via LeMat-Bulk.

abc: 4.5556 4.5556 4.5556
angles: 60.00 60.00 60.00
Sites, in units of the cell vectors:
1 Zr 0.5000 0.5000 0.5000
2 Pb 0.2500 0.2500 0.2500
3 Re 0.0000 0.0000 0.0000

space group: F-43m, No. 216
calculated volume: 22.28 Å³ per atom



5.
First-principles (GGA-PBEsol) data for an optimized crystal structure of ZrRePb2, as listed in Alexandria via LeMat-Bulk.

abc: 3.1946 3.1946 9.3828
angles: 90.00 90.00 117.19
Sites, in units of the cell vectors:
1 Zr 0.5000 0.5000 0.0000
2 Pb 0.0000 0.0000 0.7342
3 Pb 0.0000 0.0000 0.2658
4 Re 0.5000 0.5000 0.5000

space group: Cmmm, No. 65
calculated volume: 21.29 Å³ per atom
offset from the most stable computed form: 47.5 meV per atom



6.
First-principles (GGA-PBEsol) data for an optimized crystal structure of Rh3Pb, as listed in Alexandria via LeMat-Bulk.

abc: 2.9181 3.7584 5.7365
angles: 90.00 90.00 90.00
Sites, in units of the cell vectors:
1 Rh 0.5000 0.5000 0.7260
2 Rh 0.0000 0.0000 0.5000
3 Rh 0.5000 0.5000 0.2740
4 Pb 0.0000 0.0000 0.0000

space group: Pmmm, No. 47
calculated volume: 15.73 Å³ per atom



Result set for mass density: 15.68, 15.67, 11.69, 12.04, 13.49, 13.62 g cm⁻³, one per record in the order listed.
Result set for calculated formation energy: 2.12, 2.22, -0.12, 3.06, 2.56, 0.79 eV per formula unit, one per record in the order listed.
Result set for M_tot: 0.00, 0.00, 0.00, 0.28, 0.00, 0.00 μB per formula unit, one per record in the order listed.